No. 1
# ZrTa2Al2

An optimized crystal structure of ZrTa2Al2 (GGA-PBE, the Alexandria database).

```
ZrTa2Al2
1.0
3.740 0.000 0.000
0.000 3.740 0.000
1.870 1.870 7.000
Al Ta Zr
2 2 1
Direct
0.750 0.250 0.500 Al
0.250 0.750 0.500 Al
0.598 0.598 0.805 Ta
0.402 0.402 0.195 Ta
0.000 0.000 0.000 Zr
```

Calculated values
Distance to the lowest polymorph of the same formula   532 meV per atom
DOS at the Fermi energy   0.952 states/eV per atom
Space-group type   I4/mmm (139)
Energy relative to the elements   0.295 eV/atom
Calculated total energy   -38.3 eV/cell

---

No. 2
# Rb3CeNd3S8

An optimized crystal structure of Rb3CeNd3S8 (GGA-PBE, the Alexandria database).

```
Rb3CeNd3S8
1.0
8.370 0.000 0.000
-4.185 7.250 -0.029
0.000 -4.805 7.828
Ce S Nd Rb
1 8 3 3
Direct
0.000 0.000 0.500 Ce
0.224 0.964 0.688 S
0.732 0.464 0.696 S
0.776 0.036 0.312 S
0.268 0.536 0.304 S
0.776 0.553 0.312 S
0.741 0.964 0.688 S
0.224 0.447 0.688 S
0.259 0.036 0.312 S
0.000 0.500 0.500 Nd
0.500 0.000 0.500 Nd
0.500 0.500 0.500 Nd
0.500 0.500 0.000 Rb
0.000 0.000 0.000 Rb
0.000 0.500 0.000 Rb
```

Calculated values
Space-group type   R-3m (166)
Raw formation energy   -1.822 eV/atom
Calculated total energy   -83.5 eV/cell

---

No. 3
# TbPrEr2S6

An optimized crystal structure of TbPrEr2S6 (GGA-PBE, the Alexandria database).

```
TbPrEr2S6
1.0
-2.502 3.133 -5.710
-6.853 -0.092 -1.311
-3.795 6.257 0.833
Er S Tb Pr
2 6 1 1
Direct
0.517 0.517 0.448 Er
0.014 0.014 0.959 Er
0.725 0.138 0.747 S
0.138 0.390 0.747 S
0.908 0.620 0.245 S
0.227 0.908 0.245 S
0.390 0.725 0.747 S
0.620 0.227 0.245 S
0.315 0.315 0.056 Tb
0.808 0.808 0.576 Pr
```

Calculated values
DOS at the Fermi energy   0.000 states/eV per atom
Space-group type   R3 (146)
Raw formation energy   -2.045 eV/atom
Calculated total energy   -63.8 eV/cell

---

No. 4
# SnGe2MoN

An optimized crystal structure of SnGe2MoN (GGA-PBE, the Alexandria database).

```
SnGe2MoN
1.0
5.162 0.000 0.000
0.000 5.387 0.000
0.000 0.000 5.162
Mo Ge Sn N
1 2 1 1
Direct
0.000 0.500 0.000 Mo
0.500 0.000 0.000 Ge
0.000 0.000 0.500 Ge
0.000 0.000 0.000 Sn
0.500 0.500 0.500 N
```

Calculated values
DOS at the Fermi energy   1.201 states/eV per atom
Space-group type   P4/mmm (123)
Raw formation energy   2.478 eV/atom
Calculated total energy   -20.0 eV/cell

---

No. 5
# BeAl2GeO6

An optimized crystal structure of BeAl2GeO6 (GGA-PBE, the Alexandria database).

```
BeAl2GeO6
1.0
-0.381 3.516 3.204
-3.132 -0.366 3.583
1.965 -0.924 4.802
Al O Be Ge
2 6 1 1
Direct
0.013 0.013 0.961 Al
0.522 0.522 0.435 Al
0.105 0.427 0.737 O
0.730 0.105 0.737 O
0.921 0.611 0.218 O
0.427 0.730 0.737 O
0.611 0.250 0.218 O
0.250 0.921 0.218 O
0.764 0.764 0.707 Be
0.318 0.318 0.047 Ge
```

Calculated values
DOS at the Fermi energy   0.000 states/eV per atom
Space-group type   R3 (146)
Raw formation energy   -2.456 eV/atom
Calculated total energy   -70.1 eV/cell

---

No. 6
# Ba3PmCd4

An optimized crystal structure of Ba3PmCd4 (GGA-PBE, the Alexandria database).

```
Ba3PmCd4
1.0
-1.834 -0.029 3.668
-3.507 -1.186 -1.764
4.418 -16.155 2.082
Pm Ba Cd
1 3 4
Direct
0.500 0.500 0.000 Pm
0.500 0.500 0.764 Ba
0.500 0.500 0.236 Ba
0.500 0.500 0.500 Ba
0.000 0.000 0.369 Cd
0.000 0.000 0.099 Cd
0.000 0.000 0.631 Cd
0.000 0.000 0.901 Cd
```

Calculated values
DOS at the Fermi energy   0.618 states/eV per atom
Space-group type   P4/mmm (123)
Energy relative to the elements   -0.306 eV/atom
Calculated total energy   -16.6 eV/cell

---

No. 7
# LaNdC2

An optimized crystal structure of LaNdC2 (GGA-PBE, the Alexandria database).

```
LaNdC2
1.0
3.572 0.625 -0.952
0.722 6.836 -0.792
-0.757 -0.287 4.238
La C Nd
1 2 1
Direct
0.909 0.230 0.704 La
0.712 0.055 0.123 C
0.605 0.958 0.804 C
0.402 0.796 0.225 Nd
```

Calculated values
DOS at the Fermi energy   0.604 states/eV per atom
Space-group type   P1 (1)
Energy relative to the elements   -0.161 eV/atom
Calculated total energy   -28.8 eV/cell

---

No. 8
# NpFe4B4

An optimized crystal structure of NpFe4B4 (GGA-PBE, the Alexandria database).

```
NpFe4B4
1.0
3.838 0.000 0.000
0.000 6.908 0.000
0.000 0.000 6.908
B Fe Np
8 8 2
Direct
0.394 0.298 0.164 B
0.894 0.336 0.798 B
0.606 0.164 0.702 B
0.394 0.702 0.836 B
0.106 0.798 0.664 B
0.106 0.202 0.336 B
0.894 0.664 0.202 B
0.606 0.836 0.298 B
0.607 0.120 0.370 Fe
0.393 0.370 0.880 Fe
0.893 0.380 0.130 Fe
0.393 0.630 0.120 Fe
0.607 0.880 0.630 Fe
0.893 0.620 0.870 Fe
0.107 0.870 0.380 Fe
0.107 0.130 0.620 Fe
0.000 0.000 0.000 Np
0.500 0.500 0.500 Np
```

Calculated values
DOS at the Fermi energy   1.225 states/eV per atom
Space-group type   P4_2/n (86)
Energy relative to the elements   -0.356 eV/atom
Calculated total energy   -153.4 eV/cell

---

No. 9
# Sr3CdBr2F6

An optimized crystal structure of Sr3CdBr2F6 (GGA-PBE, the Alexandria database).

```
Sr3CdBr2F6
1.0
5.670 0.000 0.800
0.000 7.540 0.000
0.312 -3.770 6.640
Br F Sr Cd
2 6 3 1
Direct
0.880 0.291 0.581 Br
0.120 0.709 0.419 Br
0.298 0.673 0.865 F
0.372 0.163 0.327 F
0.628 0.837 0.673 F
0.702 0.807 0.135 F
0.702 0.327 0.135 F
0.298 0.193 0.865 F
0.500 0.000 0.500 Sr
0.000 0.500 0.000 Sr
0.500 0.500 0.500 Sr
0.500 0.000 0.000 Cd
```

Calculated values
DOS at the Fermi energy   0.000 states/eV per atom
Space-group type   C2/m (12)
Raw formation energy   -2.899 eV/atom
Calculated total energy   -55.3 eV/cell

---

No. 10
# YTlTe2

An optimized crystal structure of YTlTe2 (GGA-PBE, the Alexandria database).

```
YTlTe2
1.0
-4.487 1.123 -7.656
-8.302 0.765 -3.240
6.652 1.961 5.649
Te Tl Y
2 1 1
Direct
0.064 0.064 0.000 Te
0.772 0.272 0.500 Te
0.464 0.464 0.000 Tl
0.200 0.700 0.500 Y
```

Calculated values
DOS at the Fermi energy   0.009 states/eV per atom
Space-group type   Imm2 (44)
Raw formation energy   -0.940 eV/atom
Calculated total energy   -18.9 eV/cell

---

No. 11
# Ir2RhSe

An optimized crystal structure of Ir2RhSe (GGA-PBE, the Alexandria database).

```
Ir2RhSe
1.0
3.905 0.000 0.000
0.000 3.934 0.000
0.000 0.000 3.934
Se Ir Rh
1 2 1
Direct
0.500 0.000 0.500 Se
0.000 0.000 0.000 Ir
0.000 0.500 0.500 Ir
0.500 0.500 0.000 Rh
```

Calculated values
DOS at the Fermi energy   0.644 states/eV per atom
Space-group type   P4/mmm (123)
Raw formation energy   0.430 eV/atom
Calculated total energy   -26.8 eV/cell

---

No. 12
# CdGaI3

An optimized crystal structure of CdGaI3 (GGA-PBE, the Alexandria database).

```
CdGaI3
1.0
-0.020 -2.176 -5.252
3.909 -3.819 1.567
-4.128 -3.605 1.510
Ga Cd I
1 1 3
Direct
0.000 0.000 0.000 Ga
0.500 0.500 0.500 Cd
0.500 0.000 0.000 I
0.000 0.500 0.000 I
0.000 0.000 0.500 I
```

Calculated values
DOS at the Fermi energy   0.342 states/eV per atom
Space-group type   Pm-3m (221)
Raw formation energy   -0.117 eV/atom
Calculated total energy   -9.2 eV/cell